Record 1
# La6RuAu2I3, relaxed, DFT PBE-GGA
data_La6RuAu2I3
_space_group_name_H-M_alt 'C 1 2/m 1'
_space_group_IT_number 12
_cell_length_a 7.561
_cell_length_b 13.077
_cell_length_c 8.590
_cell_angle_alpha 90.00
_cell_angle_beta 107.06
_cell_angle_gamma 90.00
loop_
_space_group_symop_operation_xyz
'x,y,z'
'-x,-y,-z'
'-x,y,-z'
'x,-y,z'
'x+1/2,y+1/2,z'
'-x+1/2,-y+1/2,-z'
'-x+1/2,y+1/2,-z'
'x+1/2,-y+1/2,z'
loop_
_atom_site_label
_atom_site_type_symbol
_atom_site_fract_x
_atom_site_fract_y
_atom_site_fract_z
La1 La 0.220 0.155 0.193
La2 La 0.246 0.000 0.806
Ru1 Ru 0.000 0.000 0.000
Au1 Au 0.000 0.334 0.000
I1 I 0.000 0.168 0.500
I2 I 0.000 0.500 0.500
# - Calculated volume: 811.9 Å³/cell
# - Energy relative to the elements, uncorrected: -923 meV per atom


Record 2
# InSn3Pd, relaxed, DFT PBE-GGA
data_InSn3Pd
_space_group_name_H-M_alt 'C 1 2/m 1'
_space_group_IT_number 12
_cell_length_a 10.849
_cell_length_b 8.709
_cell_length_c 6.653
_cell_angle_alpha 90.00
_cell_angle_beta 126.58
_cell_angle_gamma 90.00
loop_
_space_group_symop_operation_xyz
'x,y,z'
'-x,-y,-z'
'-x,y,-z'
'x,-y,z'
'x+1/2,y+1/2,z'
'-x+1/2,-y+1/2,-z'
'-x+1/2,y+1/2,-z'
'x+1/2,-y+1/2,z'
loop_
_atom_site_label
_atom_site_type_symbol
_atom_site_fract_x
_atom_site_fract_y
_atom_site_fract_z
In1 In 0.051 0.000 0.270
Sn1 Sn 0.062 0.500 0.329
Sn2 Sn 0.228 0.196 0.752
Pd1 Pd 0.245 0.500 0.873
# - Calculated volume: 504.8 Å³/cell
# - Relative energy among the computed polymorphs: 0.000 eV per formula unit
# - Calculated formation energy: -17.2 kJ/mol of atoms


Record 3
# SnBPbO2, relaxed, DFT PBE-GGA
data_SnBPbO2
_space_group_name_H-M_alt 'P 4/m m m'
_space_group_IT_number 123
_space_group_name_Hall '-P 4 2'
_cell_length_a 4.120
_cell_length_b 4.120
_cell_length_c 6.367
_cell_angle_alpha 90.00
_cell_angle_beta 90.00
_cell_angle_gamma 90.00
loop_
_atom_site_label
_atom_site_type_symbol
_atom_site_fract_x
_atom_site_fract_y
_atom_site_fract_z
Sn1 Sn 0.000 0.000 0.000
B1 B 0.500 0.500 0.000
Pb1 Pb 0.000 0.000 0.500
O1 O 0.000 0.500 0.500
# - Calculated volume: 108.1 Å³/cell
# - Energy relative to the elements, uncorrected: 815 meV per atom


Record 4
# NdErCdSn, relaxed, DFT PBE-GGA
data_NdErCdSn
_space_group_name_H-M_alt 'F -4 3 m'
_space_group_IT_number 216
_space_group_name_Hall 'F -4 2 3'
_cell_length_a 7.562
_cell_length_b 7.562
_cell_length_c 7.562
_cell_angle_alpha 90.00
_cell_angle_beta 90.00
_cell_angle_gamma 90.00
loop_
_atom_site_label
_atom_site_type_symbol
_atom_site_fract_x
_atom_site_fract_y
_atom_site_fract_z
Nd1 Nd 0.000 0.000 0.000
Er1 Er 0.000 0.000 0.500
Cd1 Cd 0.250 0.250 0.250
Sn1 Sn 0.250 0.250 0.750
# - Calculated volume: 432.4 Å³/cell
# - Calculated formation energy: -48.0 kJ/mol of atoms


Record 5
# Cu4TeI3, relaxed, DFT PBE-GGA
data_Cu4TeI3
_space_group_name_H-M_alt 'P m n 21'
_space_group_IT_number 31
_cell_length_a 8.454
_cell_length_b 7.371
_cell_length_c 7.069
_cell_angle_alpha 90.00
_cell_angle_beta 90.00
_cell_angle_gamma 90.00
loop_
_space_group_symop_operation_xyz
'x,y,z'
'-x+1/2,-y,z+1/2'
'-x,y,z'
'x+1/2,-y,z+1/2'
loop_
_atom_site_label
_atom_site_type_symbol
_atom_site_fract_x
_atom_site_fract_y
_atom_site_fract_z
Cu1 Cu 0.000 0.156 0.000
Cu2 Cu 0.000 0.834 0.521
Cu3 Cu 0.241 0.673 0.002
Te1 Te 0.000 0.835 0.877
I1 I 0.000 0.166 0.375
I2 I 0.250 0.335 0.876
# - Calculated volume: 440.5 Å³/cell
# - Energy relative to the elements, uncorrected: -92 meV per atom


Record 6
# LiScCd2N, relaxed, DFT PBE-GGA
data_LiScCd2N
_space_group_name_H-M_alt 'P 4/m m m'
_space_group_IT_number 123
_space_group_name_Hall '-P 4 2'
_cell_length_a 4.895
_cell_length_b 4.895
_cell_length_c 3.707
_cell_angle_alpha 90.00
_cell_angle_beta 90.00
_cell_angle_gamma 90.00
loop_
_atom_site_label
_atom_site_type_symbol
_atom_site_fract_x
_atom_site_fract_y
_atom_site_fract_z
Li1 Li 0.000 0.000 0.000
Sc1 Sc 0.500 0.500 0.500
Cd1 Cd 0.000 0.500 0.000
N1 N 0.000 0.000 0.500
# - Calculated volume: 88.8 Å³/cell
# - Energy relative to the elements, uncorrected: 452 meV per atom


Record 7
# LiV2CrP, relaxed, DFT PBE-GGA
data_LiV2CrP
_space_group_name_H-M_alt 'P 4/m m m'
_space_group_IT_number 123
_space_group_name_Hall '-P 4 2'
_cell_length_a 4.477
_cell_length_b 4.477
_cell_length_c 4.337
_cell_angle_alpha 90.00
_cell_angle_beta 90.00
_cell_angle_gamma 90.00
loop_
_atom_site_label
_atom_site_type_symbol
_atom_site_fract_x
_atom_site_fract_y
_atom_site_fract_z
Li1 Li 0.000 0.000 0.000
V1 V 0.000 0.500 0.500
Cr1 Cr 0.500 0.500 0.500
P1 P 0.500 0.500 0.000
# - Calculated volume: 86.9 Å³/cell
# - Calculated formation energy: 61.5 kJ/mol of atoms


Record 8
# BeAl2Sb, relaxed, DFT PBE-GGA
data_BeAl2Sb
_space_group_name_H-M_alt 'I -4 2 d'
_space_group_IT_number 122
_space_group_name_Hall 'I -4 2bw'
_cell_length_a 6.263
_cell_length_b 6.263
_cell_length_c 9.944
_cell_angle_alpha 90.00
_cell_angle_beta 90.00
_cell_angle_gamma 90.00
loop_
_atom_site_label
_atom_site_type_symbol
_atom_site_fract_x
_atom_site_fract_y
_atom_site_fract_z
Be1 Be 0.000 0.000 0.000
Al1 Al 0.208 0.250 0.125
Sb1 Sb 0.000 0.000 0.500
# - Calculated volume: 390.0 Å³/cell
# - Energy relative to the elements, uncorrected: 567 meV per atom
# - Relative energy among the computed polymorphs: 1.249 eV per formula unit


Record 9
# LiMoBr2, relaxed, DFT PBE-GGA
data_LiMoBr2
_space_group_name_H-M_alt 'P 1 2/m 1'
_space_group_IT_number 10
_cell_length_a 3.227
_cell_length_b 3.243
_cell_length_c 7.519
_cell_angle_alpha 90.00
_cell_angle_beta 90.18
_cell_angle_gamma 90.00
loop_
_space_group_symop_operation_xyz
'x,y,z'
'-x,-y,-z'
'-x,y,-z'
'x,-y,z'
loop_
_atom_site_label
_atom_site_type_symbol
_atom_site_fract_x
_atom_site_fract_y
_atom_site_fract_z
Li1 Li 0.000 0.000 0.000
Mo1 Mo 0.500 0.000 0.500
Br1 Br 0.499 0.500 0.226
# - Calculated volume: 78.7 Å³/cell
# - Energy relative to the elements, uncorrected: -34 meV per atom
# - Relative energy among the computed polymorphs: 0.312 eV per formula unit


Record 10
# VGa2GeSb, relaxed, DFT PBE-GGA
data_VGa2GeSb
_space_group_name_H-M_alt 'P 4/m m m'
_space_group_IT_number 123
_space_group_name_Hall '-P 4 2'
_cell_length_a 5.121
_cell_length_b 5.121
_cell_length_c 5.413
_cell_angle_alpha 90.00
_cell_angle_beta 90.00
_cell_angle_gamma 90.00
loop_
_atom_site_label
_atom_site_type_symbol
_atom_site_fract_x
_atom_site_fract_y
_atom_site_fract_z
V1 V 0.000 0.000 0.000
Ga1 Ga 0.000 0.500 0.500
Ge1 Ge 0.500 0.500 0.000
Sb1 Sb 0.500 0.500 0.500
# - Calculated volume: 142.0 Å³/cell
# - Energy relative to the elements, uncorrected: 1401 meV per atom


Record 11
# Nd3Y4Tm8, relaxed, DFT PBE-GGA
data_Nd3Y4Tm8
_space_group_name_H-M_alt 'C 1 2/m 1'
_space_group_IT_number 12
_cell_length_a 13.331
_cell_length_b 12.818
_cell_length_c 6.721
_cell_angle_alpha 90.00
_cell_angle_beta 120.23
_cell_angle_gamma 90.00
loop_
_space_group_symop_operation_xyz
'x,y,z'
'-x,-y,-z'
'-x,y,-z'
'x,-y,z'
'x+1/2,y+1/2,z'
'-x+1/2,-y+1/2,-z'
'-x+1/2,y+1/2,-z'
'x+1/2,-y+1/2,z'
loop_
_atom_site_label
_atom_site_type_symbol
_atom_site_fract_x
_atom_site_fract_y
_atom_site_fract_z
Nd1 Nd 0.000 0.000 0.000
Nd2 Nd 0.250 0.250 0.000
Y1 Y 0.000 0.500 0.000
Y2 Y 0.000 0.500 0.500
Y3 Y 0.250 0.250 0.500
Tm1 Tm 0.000 0.139 0.500
Tm2 Tm 0.000 0.246 0.000
Tm3 Tm 0.232 0.000 0.970
Tm4 Tm 0.233 0.000 0.493
# - Calculated volume: 992.2 Å³/cell
# - Calculated formation energy: 38.1 kJ/mol of atoms


Record 12
# Zn4PtO6, relaxed, DFT PBE-GGA
data_Zn4PtO6
_space_group_name_H-M_alt 'C 1 c 1'
_space_group_IT_number 9
_cell_length_a 10.788
_cell_length_b 6.066
_cell_length_c 8.870
_cell_angle_alpha 90.00
_cell_angle_beta 104.91
_cell_angle_gamma 90.00
loop_
_space_group_symop_operation_xyz
'x,y,z'
'x,-y,z+1/2'
'x+1/2,y+1/2,z'
'x+1/2,-y+1/2,z+1/2'
loop_
_atom_site_label
_atom_site_type_symbol
_atom_site_fract_x
_atom_site_fract_y
_atom_site_fract_z
Zn1 Zn 0.000 0.015 0.000
Zn2 Zn 0.009 0.438 0.635
Zn3 Zn 0.224 0.279 0.330
Zn4 Zn 0.290 0.201 0.689
Pt1 Pt 0.251 0.258 0.008
O1 O 0.093 0.281 0.102
O2 O 0.174 0.052 0.468
O3 O 0.174 0.378 0.789
O4 O 0.327 0.427 0.541
O5 O 0.348 0.123 0.215
O6 O 0.415 0.218 0.937
# - Calculated volume: 561.0 Å³/cell
# - Energy relative to the elements, uncorrected: -1052 meV per atom


Record 13
# Si2TcPb, relaxed, DFT PBE-GGA
data_Si2TcPb
_space_group_name_H-M_alt 'I m m m'
_space_group_IT_number 71
_space_group_name_Hall '-I 2 2'
_cell_length_a 3.280
_cell_length_b 5.419
_cell_length_c 8.465
_cell_angle_alpha 90.00
_cell_angle_beta 90.00
_cell_angle_gamma 90.00
loop_
_atom_site_label
_atom_site_type_symbol
_atom_site_fract_x
_atom_site_fract_y
_atom_site_fract_z
Si1 Si 0.000 0.000 0.217
Tc1 Tc 0.000 0.500 0.500
Pb1 Pb 0.000 0.500 0.000
# - Calculated volume: 150.5 Å³/cell
# - Energy relative to the elements, uncorrected: 535 meV per atom


Record 14
# TePCl2F, relaxed, DFT PBE-GGA
data_TePCl2F
_space_group_name_H-M_alt 'P 4/m m m'
_space_group_IT_number 123
_space_group_name_Hall '-P 4 2'
_cell_length_a 5.532
_cell_length_b 5.532
_cell_length_c 3.602
_cell_angle_alpha 90.00
_cell_angle_beta 90.00
_cell_angle_gamma 90.00
loop_
_atom_site_label
_atom_site_type_symbol
_atom_site_fract_x
_atom_site_fract_y
_atom_site_fract_z
Te1 Te 0.000 0.000 0.000
P1 P 0.500 0.500 0.000
Cl1 Cl 0.000 0.500 0.500
F1 F 0.500 0.500 0.500
# - Calculated volume: 110.2 Å³/cell
# - Energy relative to the elements, uncorrected: 178 meV per atom
# - Relative energy among the computed polymorphs: 1.203 eV per formula unit


Record 15
# ZrCoSb2, relaxed, DFT PBE-GGA
data_ZrCoSb2
_space_group_name_H-M_alt 'R 3 m'
_space_group_IT_number 160
_space_group_name_Hall 'R 3 -2"'
_cell_length_a 3.5774
_cell_length_b 3.5774
_cell_length_c 23.8781
_cell_angle_alpha 90.00
_cell_angle_beta 90.00
_cell_angle_gamma 120.00
loop_
_atom_site_label
_atom_site_type_symbol
_atom_site_fract_x
_atom_site_fract_y
_atom_site_fract_z
Zr1 Zr 0.0000 0.0000 0.0000
Co1 Co 0.0000 0.0000 0.7325
Sb1 Sb 0.0000 0.0000 0.2372
Sb2 Sb 0.0000 0.0000 0.4587
# - Calculated volume: 264.6 Å³/cell
# - Energy relative to the elements, uncorrected: -46 meV per atom


Record 16
# Sr2WSe, relaxed, DFT PBE-GGA
data_Sr2WSe
_space_group_name_H-M_alt 'A m m 2'
_space_group_IT_number 38
_cell_length_a 4.342
_cell_length_b 4.775
_cell_length_c 11.499
_cell_angle_alpha 90.00
_cell_angle_beta 90.00
_cell_angle_gamma 90.00
loop_
_space_group_symop_operation_xyz
'x,y,z'
'-x,-y,z'
'-x,y,z'
'x,-y,z'
'x,y+1/2,z+1/2'
'-x,-y+1/2,z+1/2'
'-x,y+1/2,z+1/2'
'x,-y+1/2,z+1/2'
loop_
_atom_site_label
_atom_site_type_symbol
_atom_site_fract_x
_atom_site_fract_y
_atom_site_fract_z
Sr1 Sr 0.000 0.000 0.000
Sr2 Sr 0.500 0.000 0.291
W1 W 0.000 0.000 0.698
Se1 Se 0.500 0.000 0.595
# - Calculated volume: 238.4 Å³/cell
# - Energy relative to the elements, uncorrected: 142 meV per atom